No. 1
Here is an optimized crystal structure of TlSi2Os from the Alexandria database. Energies are from PBE.

Geometry as POSCAR:
```
TlSi2Os
1.0
-4.155 -1.662 -1.466
1.106 -1.080 -4.448
2.332 -1.423 3.836
Os Si Tl
1 2 1
direct
0.750 0.250 0.500
0.000 0.000 0.000
0.500 0.500 0.000
0.250 0.750 0.500
```

## Properties
**Density**: 11.3 Mg/m³
**Energy relative to the elements, uncorrected**: 798.0 meV per atom

=====

No. 2
Here is an optimized crystal structure of TlSi2Os from the Alexandria database. Energies are from PBE.

Geometry as POSCAR:
```
TlSi2Os
1.0
-0.246 3.671 -1.671
1.037 0.531 -3.870
-5.492 0.242 -3.550
Os Si Tl
1 2 1
direct
0.750 0.750 0.750
0.048 0.048 0.856
0.452 0.452 0.644
0.250 0.250 0.250
```

## Properties
**Density**: 8.7 Mg/m³
**Energy relative to the elements, uncorrected**: 174.4 meV per atom

=====

No. 3
Here is an optimized crystal structure of Tl2SiOs from the Alexandria database. Energies are from PBE.

Geometry as POSCAR:
```
Tl2SiOs
1.0
3.833 0.000 0.000
0.000 3.833 0.000
0.000 0.000 5.462
Os Si Tl
1 1 2
direct
0.500 0.500 0.250
0.500 0.500 0.750
0.000 0.000 0.003
0.000 0.000 0.497
```

## Properties
**Density**: 13.0 Mg/m³
**Energy relative to the elements, uncorrected**: 1047.4 meV per atom

=====

No. 4
Here is an optimized crystal structure of TlSiOs from the Alexandria database. Energies are from PBE.

Geometry as POSCAR:
```
TlSiOs
1.0
-2.120 -0.872 -3.329
1.844 -2.953 2.053
-3.362 -0.517 2.276
Os Si Tl
1 1 1
direct
0.000 0.000 0.168
0.667 0.333 0.165
0.333 0.667 0.667
```

## Properties
**Density**: 12.1 Mg/m³
**Energy relative to the elements, uncorrected**: 463.8 meV per atom

=====

No. 5
Here is an optimized crystal structure of Tl2SiOs from the Alexandria database. Energies are from PBE.

Geometry as POSCAR:
```
Tl2SiOs
1.0
-4.420 0.293 -5.354
-6.557 -2.166 -0.779
5.073 3.712 2.962
Os Si Tl
1 1 2
direct
0.473 0.473 0.000
0.329 0.829 0.500
0.999 0.999 0.000
0.699 0.199 0.500
```

## Properties
**Density**: 11.4 Mg/m³
**Energy relative to the elements, uncorrected**: 528.3 meV per atom

=====

No. 6
Here is an optimized crystal structure of TlSi2Os from the Alexandria database. Energies are from PBE.

Geometry as POSCAR:
```
TlSi2Os
1.0
2.969 -0.042 0.000
-1.283 2.678 0.000
0.000 0.000 9.735
Os Si Tl
1 2 1
direct
0.500 0.500 0.750
0.000 0.000 0.942
0.000 0.000 0.558
0.500 0.500 0.250
```

## Properties
**Density**: 9.7 Mg/m³
**Energy relative to the elements, uncorrected**: 464.4 meV per atom

=====

no.,calculated volume (Å³/cell)
1,66.42
2,86.48
3,80.23
4,57.91
5,91.57
6,76.88